{
  "formula": "Nd5Dy4Mg",
  "functional": "PBE-GGA",
  "state": "optimized geometry",
  "total_energy_ev_per_atom": -4.388,
  "dos_ef_per_ev_cell": 12.6,
  "magnetic_moment_mub_per_cell": 0.00,
  "formation_enthalpy_0k_ev_per_atom": -0.004,
  "rho_g_cm3": 7.1,
  "lattice_angstrom": [[3.635, 0.000, 0.000], [0.000, 3.635, 0.000], [0.000, 0.000, 24.683]],
  "species": ["Nd", "Nd", "Nd", "Nd", "Nd", "Dy", "Dy", "Dy", "Dy", "Mg"],
  "frac_coords": [[0.000, 0.000, 0.000], [0.000, 0.000, 0.205], [0.000, 0.000, 0.410], [0.000, 0.000, 0.590], [0.000, 0.000, 0.795], [0.500, 0.500, 0.103], [0.500, 0.500, 0.308], [0.500, 0.500, 0.692], [0.500, 0.500, 0.897], [0.500, 0.500, 0.500]]
}

---

{
  "formula": "NaPrNd2",
  "functional": "PBE-GGA",
  "state": "optimized geometry",
  "polymorph_energy_ev_per_fu": 0.37,
  "total_energy_ev_per_atom": -3.714,
  "dos_ef_per_ev_cell": 5.9,
  "magnetic_moment_mub_per_cell": 0.00,
  "formation_enthalpy_0k_ev_per_atom": 0.195,
  "rho_g_cm3": 5.4,
  "lattice_angstrom": [[6.087, 0.000, 0.000], [0.000, 6.087, 0.000], [0.000, 0.000, 3.758]],
  "species": ["Na", "Pr", "Nd", "Nd"],
  "frac_coords": [[0.000, 0.000, 0.000], [0.500, 0.500, 0.000], [0.000, 0.500, 0.500], [0.500, 0.000, 0.500]]
}

---

{
  "formula": "SrI2Cl",
  "functional": "PBE-GGA",
  "state": "optimized geometry",
  "polymorph_energy_ev_per_fu": 0.00,
  "total_energy_ev_per_atom": -2.782,
  "dos_ef_per_ev_cell": 4.6,
  "magnetic_moment_mub_per_cell": 0.00,
  "raw_formation_energy_mev_per_atom": -1125,
  "rho_g_cm3": 4.3,
  "lattice_angstrom": [[-2.410, 2.410, 12.525], [2.410, -2.410, 12.525], [2.410, 2.410, -12.525]],
  "species": ["Sr", "Sr", "I", "I", "I", "I", "Cl", "Cl"],
  "frac_coords": [[0.000, 0.000, 0.000], [0.750, 0.250, 0.500], [0.119, 0.625, 0.994], [0.375, 0.369, 0.494], [0.631, 0.125, 0.006], [0.875, 0.881, 0.506], [0.250, 0.750, 0.500], [0.500, 0.500, 0.000]]
}

---

{
  "formula": "Li4Pm3ZrS8",
  "functional": "PBE-GGA",
  "state": "optimized geometry",
  "total_energy_ev_per_atom": -5.668,
  "dos_ef_per_ev_cell": 4.1,
  "magnetic_moment_mub_per_cell": 0.00,
  "raw_formation_energy_mev_per_atom": -1701,
  "rho_g_cm3": 4.1,
  "lattice_angstrom": [[3.922, 2.265, 6.209], [-3.922, 2.265, 6.209], [0.000, -4.529, 6.209]],
  "species": ["Li", "Li", "Li", "Li", "Pm", "Pm", "Pm", "Zr", "S", "S", "S", "S", "S", "S", "S", "S"],
  "frac_coords": [[0.000, 0.000, 0.000], [0.000, 0.500, 0.500], [0.500, 0.000, 0.500], [0.500, 0.500, 0.000], [0.000, 0.000, 0.500], [0.000, 0.500, 0.000], [0.500, 0.000, 0.000], [0.500, 0.500, 0.500], [0.254, 0.254, 0.254], [0.259, 0.259, 0.730], [0.259, 0.730, 0.259], [0.270, 0.741, 0.741], [0.730, 0.259, 0.259], [0.741, 0.270, 0.741], [0.741, 0.741, 0.270], [0.746, 0.746, 0.746]]
}

---

{
  "formula": "Tb2NiGe2Rh5",
  "functional": "PBE-GGA",
  "state": "optimized geometry",
  "total_energy_ev_per_atom": -6.721,
  "dos_ef_per_ev_cell": 22.3,
  "magnetic_moment_mub_per_cell": 1.44,
  "formation_enthalpy_0k_ev_per_atom": -0.618,
  "rho_g_cm3": 10.3,
  "lattice_angstrom": [[9.683, 0.000, 0.000], [0.000, 9.683, 0.000], [0.000, 0.000, 3.567]],
  "species": ["Tb", "Tb", "Tb", "Tb", "Ni", "Ni", "Ge", "Ge", "Ge", "Ge", "Rh", "Rh", "Rh", "Rh", "Rh", "Rh", "Rh", "Rh", "Rh", "Rh"],
  "frac_coords": [[0.173, 0.327, 0.000], [0.327, 0.827, 0.000], [0.673, 0.173, 0.000], [0.827, 0.673, 0.000], [0.000, 0.000, 0.000], [0.500, 0.500, 0.000], [0.127, 0.627, 0.000], [0.373, 0.127, 0.000], [0.627, 0.873, 0.000], [0.873, 0.373, 0.000], [0.000, 0.500, 0.500], [0.065, 0.798, 0.500], [0.202, 0.065, 0.500], [0.298, 0.565, 0.500], [0.435, 0.298, 0.500], [0.500, 0.000, 0.500], [0.565, 0.702, 0.500], [0.702, 0.435, 0.500], [0.798, 0.935, 0.500], [0.935, 0.202, 0.500]]
}

---

{
  "formula": "Sb2PBr",
  "functional": "PBE-GGA",
  "state": "optimized geometry",
  "polymorph_energy_ev_per_fu": 1.87,
  "total_energy_ev_per_atom": -3.370,
  "dos_ef_per_ev_cell": 2.3,
  "magnetic_moment_mub_per_cell": 0.00,
  "raw_formation_energy_mev_per_atom": 462,
  "rho_g_cm3": 5.9,
  "lattice_angstrom": [[3.770, 0.000, 0.000], [0.000, 4.412, 0.000], [0.000, 0.000, 5.996]],
  "species": ["Sb", "Sb", "P", "Br"],
  "frac_coords": [[0.000, 0.000, 0.000], [0.500, 0.000, 0.500], [0.000, 0.500, 0.500], [0.500, 0.500, 0.000]]
}